Entry from the Open Quantum Materials Database: a relaxed KCoNO crystal (PBE with a Hubbard U).

E above lowest polymorph (meV/atom): 46
Total magnetization (μB per cell): 4.5
Space group: No. 26
Calculated density (Mg/m³): 3.6

a b c (Å): 5.9023 3.1048 6.4556
angles (deg): 90.00 90.01 90.00
Last column: nearest neighbours and their distance in Å.
Positions (direct):
Co1 0.4995 0.5000 0.1675  2 N 1.78, 2 O 1.83-1.84
Co2 0.9995 0.5000 0.8324  2 N 1.78, 2 O 1.83-1.84
K1 0.0028 0.0000 0.2739  4 O 2.72-2.83, 3 N 2.73-3.00
K2 0.5026 0.0000 0.7260  4 O 2.72-2.83, 3 N 2.73-3.00
N1 0.4949 0.0000 0.3036  2 Co 1.78
N2 0.9951 0.0000 0.6966  2 Co 1.78
O1 0.7568 0.5000 0.0105  2 Co 1.83-1.84
O2 0.2569 0.5000 0.9894  2 Co 1.83-1.84